Entry 1:
9
Lattice="7.4996 -1.6109 0.0000 7.4996 1.6109 0.0000 -2.8635 0.0000 7.3904" Properties=species:S:1:pos:R:3 comment="Hf2Ti4In3 | Alexandria via LeMat-Bulk | PBE-GGA | relaxed" crystal_system=monoclinic total_magnetization_mub_per_fu=0.00 final_energy_ev_per_atom=-6.745 de_polymorph_mev_per_atom=0 pbc="T T T"
Hf -0.3702 0.0000 7.3901
Hf 12.5060 0.0000 0.0003
Ti -0.2959 0.0000 2.4291
Ti 2.5732 0.0000 4.9210
Ti 9.5626 0.0000 2.4694
Ti 12.4317 0.0000 4.9613
In 4.5416 0.0000 2.5641
In 7.4996 0.0000 0.0000
In 7.5941 0.0000 4.8262

Entry 2:
16
Lattice="7.7640 0.0000 0.0000 0.0000 7.7640 0.0000 0.0000 0.0000 5.4377" Properties=species:S:1:pos:R:3 comment="LaGaRe2 | Alexandria via LeMat-Bulk | PBE-GGA | relaxed" crystal_system=tetragonal total_magnetization_mub_per_fu=0.00 final_energy_ev_per_atom=-7.399 pbc="T T T"
La 0.0000 0.0000 0.0000
La 0.0000 3.8820 1.3594
La 3.8820 0.0000 4.0783
La 3.8820 3.8820 2.7189
Ga 0.0000 0.0000 2.7189
Ga 0.0000 3.8820 4.0783
Ga 3.8820 0.0000 1.3594
Ga 3.8820 3.8820 0.0000
Re 1.4647 1.9410 3.3986
Re 1.9410 5.3467 4.7580
Re 1.9410 6.2993 2.0392
Re 2.4173 1.9410 0.6797
Re 5.3467 5.8230 0.6797
Re 5.8230 1.4647 2.0392
Re 5.8230 2.4173 4.7580
Re 6.2993 5.8230 3.3986

Entry 3:
6
Lattice="2.9220 0.0000 0.0000 0.0000 3.9780 0.0000 -1.3445 0.0000 8.7296" Properties=species:S:1:pos:R:3 comment="GaNiHg | Alexandria via LeMat-Bulk | PBE-GGA | relaxed" crystal_system=monoclinic total_magnetization_mub_per_fu=0.00 final_energy_ev_per_atom=-3.180 de_polymorph_mev_per_atom=0 pbc="T T T"
Ga 0.0006 0.9945 1.0999
Ga 1.5769 2.9835 7.6297
Ni 0.1205 0.9945 7.7569
Ni 1.4570 2.9835 0.9727
Hg 0.0138 2.9835 3.3949
Hg 1.5637 0.9945 5.3347

Entry 4:
10
Lattice="4.2859 0.0000 0.0000 -2.1430 3.7117 0.0000 0.0000 0.0000 19.2266" Properties=species:S:1:pos:R:3 comment="La3PbN | Alexandria via LeMat-Bulk | PBE-GGA | relaxed" crystal_system=hexagonal total_magnetization_mub_per_fu=0.00 final_energy_ev_per_atom=-5.969 raw_formation_energy_ev_per_atom=-0.605 pbc="T T T"
La 0.0000 0.0000 4.8067
La 0.0000 0.0000 14.4200
La 0.0000 2.4745 2.2190
La 0.0000 2.4745 7.3943
La 2.1430 1.2372 11.8324
La 2.1430 1.2372 17.0076
Pb 0.0000 0.0000 0.0000
Pb 0.0000 0.0000 9.6133
N 0.0000 2.4745 4.8067
N 2.1430 1.2372 14.4200

Entry 5:
8
Lattice="3.0688 0.0000 0.0000 0.0000 4.5681 0.0000 0.0000 0.0000 9.1746" Properties=species:S:1:pos:R:3 comment="Re2AgW | Alexandria via LeMat-Bulk | PBE-GGA | relaxed" crystal_system=orthorhombic total_magnetization_mub_per_fu=0.00 final_energy_ev_per_atom=-9.590 de_polymorph_mev_per_atom=275 pbc="T T T"
Re 0.0000 0.0000 2.1257
Re 0.0000 0.0000 7.0489
Re 1.5344 2.2841 2.4616
Re 1.5344 2.2841 6.7130
Ag 0.0000 2.2841 0.0000
Ag 1.5344 0.0000 4.5873
W 0.0000 2.2841 4.5873
W 1.5344 0.0000 0.0000